Entry from the Alexandria database: an optimized crystal structure of Pm2FePd (PBE).

Computed properties:
ΔH_f (0 K)	-257	meV per atom
ρ	8.45	Mg/m³

CIF file:
```
data_Pm2FePd
_symmetry_space_group_name_H-M 'P 1'
_symmetry_Int_Tables_number 1
_cell_length_a 3.5389
_cell_length_b 3.5389
_cell_length_c 7.0928
_cell_angle_alpha 90.00
_cell_angle_beta 90.00
_cell_angle_gamma 90.00
loop_
_symmetry_equiv_pos_as_xyz
'x,y,z'
loop_
_atom_site_label
_atom_site_type_symbol
_atom_site_fract_x
_atom_site_fract_y
_atom_site_fract_z
Pd1 Pd 0.5000 0.5000 0.5000
Pm1 Pm 0.0000 0.0000 0.7581
Pm2 Pm 0.0000 0.0000 0.2419
Fe1 Fe 0.5000 0.5000 0.0000
```

=====

Entry from the Alexandria database: an optimized crystal structure of SmHf2Rh3 (PBE).

Computed properties:
ΔH_f (0 K)	-854	meV per atom
ρ	11.98	Mg/m³

CIF file:
```
data_SmHf2Rh3
_symmetry_space_group_name_H-M 'P 1'
_symmetry_Int_Tables_number 1
_cell_length_a 3.2823
_cell_length_b 3.2823
_cell_length_c 10.4980
_cell_angle_alpha 90.00
_cell_angle_beta 90.00
_cell_angle_gamma 90.00
loop_
_symmetry_equiv_pos_as_xyz
'x,y,z'
loop_
_atom_site_label
_atom_site_type_symbol
_atom_site_fract_x
_atom_site_fract_y
_atom_site_fract_z
Hf1 Hf 0.5000 0.5000 0.8406
Hf2 Hf 0.5000 0.5000 0.1594
Sm1 Sm 0.5000 0.5000 0.5000
Rh1 Rh 0.0000 0.0000 0.7035
Rh2 Rh 0.0000 0.0000 0.0000
Rh3 Rh 0.0000 0.0000 0.2965
```

=====

Entry from the Alexandria database: an optimized crystal structure of Tb7Pm2Dy2 (PBE).

Computed properties:
excess energy over the best structure of this formula in the dataset	0	meV/atom
ΔH_f (0 K)	116	meV per atom
ρ	7.91	Mg/m³

CIF file:
```
data_Tb7Pm2Dy2
_symmetry_space_group_name_H-M 'P 1'
_symmetry_Int_Tables_number 1
_cell_length_a 8.7399
_cell_length_b 6.5169
_cell_length_c 6.5169
_cell_angle_alpha 93.54
_cell_angle_beta 98.01
_cell_angle_gamma 98.01
loop_
_symmetry_equiv_pos_as_xyz
'x,y,z'
loop_
_atom_site_label
_atom_site_type_symbol
_atom_site_fract_x
_atom_site_fract_y
_atom_site_fract_z
Tb1 Tb 0.2932 0.4450 0.0823
Dy1 Dy 0.9054 0.1480 0.1480
Tb2 Tb 0.6436 0.3923 0.3923
Pm1 Pm 0.0000 0.6771 0.3229
Dy2 Dy 0.0946 0.8520 0.8520
Pm2 Pm 0.0000 0.3229 0.6771
Tb3 Tb 0.7068 0.9177 0.5550
Tb4 Tb 0.5000 0.0000 0.0000
Tb5 Tb 0.7068 0.5550 0.9177
Tb6 Tb 0.2932 0.0823 0.4450
Tb7 Tb 0.3564 0.6077 0.6077
```

=====

Entry from the Alexandria database: an optimized crystal structure of Rb3Pr2PuS6 (PBE).

Computed properties:
formation energy (no corrections)	-1713	meV per atom
ρ	4.52	Mg/m³

CIF file:
```
data_Rb3Pr2PuS6
_symmetry_space_group_name_H-M 'P 1'
_symmetry_Int_Tables_number 1
_cell_length_a 7.3318
_cell_length_b 7.3318
_cell_length_c 8.0711
_cell_angle_alpha 98.72
_cell_angle_beta 98.72
_cell_angle_gamma 119.99
loop_
_symmetry_equiv_pos_as_xyz
'x,y,z'
loop_
_atom_site_label
_atom_site_type_symbol
_atom_site_fract_x
_atom_site_fract_y
_atom_site_fract_z
S1 S 0.6081 0.9347 0.8042
S2 S 0.3919 0.0653 0.1958
Rb1 Rb 0.8323 0.1677 0.5000
S3 S 0.2613 0.2613 0.8039
S4 S 0.9347 0.6081 0.8042
S5 S 0.0653 0.3919 0.1958
Pr1 Pr 0.3335 0.6665 0.0000
Rb2 Rb 0.1677 0.8323 0.5000
S6 S 0.7387 0.7387 0.1961
Pr2 Pr 0.6665 0.3335 0.0000
Pu1 Pu 0.0000 0.0000 0.0000
Rb3 Rb 0.5000 0.5000 0.5000
```